TbTlCdAu: relaxed, PBE.

abc: 5.0855 5.0855 5.0855
angles: 60.00 60.00 60.00
Sites, in units of the cell vectors:
1 Tb 0.0000 0.0000 0.0000
2 Tl 0.7500 0.7500 0.7500
3 Cd 0.5000 0.5000 0.5000
4 Au 0.2500 0.2500 0.2500

Crystal system: cubic
DFT formation energy: -0.402 eV/atom
SG: No. 216
DOS at the Fermi energy: 0.867 states/eV/atom
Magnetic moment: 0.00 μB per formula unit